No. 1
Material: RbHfTe2I
Method: DFT, GGA-PBEsol
State: relaxed

Summary:
Crystal system = tetragonal
ΔE_f (raw) = 1.27 eV per atom

The structure in CIF format:
```
data_RbHfTe2I
_cell_length_a 5.858
_cell_length_b 5.858
_cell_length_c 5.995
_cell_angle_alpha 90.00
_cell_angle_beta 90.00
_cell_angle_gamma 90.00
_symmetry_space_group_name_H-M 'P 4/m m m'
_symmetry_Int_Tables_number 123
_symmetry_space_group_name_Hall '-P 4 2'
loop_
_atom_site_label
_atom_site_type_symbol
_atom_site_fract_x
_atom_site_fract_y
_atom_site_fract_z
Rb1 Rb 0.000 0.000 0.000
Hf1 Hf 0.500 0.500 0.500
Te1 Te 0.000 0.500 0.000
I1 I 0.000 0.000 0.500
```

=====

No. 2
Material: BiSbPd2
Method: DFT, GGA-PBEsol
State: relaxed

Summary:
Crystal system = hexagonal
ΔE_f (raw) = -0.39 eV per atom

The structure in CIF format:
```
data_BiSbPd2
_cell_length_a 4.1657
_cell_length_b 4.1657
_cell_length_c 5.6099
_cell_angle_alpha 90.00
_cell_angle_beta 90.00
_cell_angle_gamma 120.00
_symmetry_space_group_name_H-M 'P -6 m 2'
_symmetry_Int_Tables_number 187
_symmetry_space_group_name_Hall 'P -6 2'
loop_
_atom_site_label
_atom_site_type_symbol
_atom_site_fract_x
_atom_site_fract_y
_atom_site_fract_z
Bi1 Bi 0.0000 0.0000 0.0000
Sb1 Sb 0.3333 0.6667 0.5000
Pd1 Pd 0.6667 0.3333 0.2562
```

=====

No. 3
Material: LaSiSe3
Method: DFT, GGA-PBEsol
State: relaxed

Summary:
Offset from the most stable computed form = 5.62 eV/f.u.
Crystal system = cubic
ΔE_f (raw) = 0.21 eV per atom

The structure in CIF format:
```
data_LaSiSe3
_cell_length_a 5.596
_cell_length_b 5.596
_cell_length_c 5.596
_cell_angle_alpha 90.00
_cell_angle_beta 90.00
_cell_angle_gamma 90.00
_symmetry_space_group_name_H-M 'P m -3 m'
_symmetry_Int_Tables_number 221
_symmetry_space_group_name_Hall '-P 4 2 3'
loop_
_atom_site_label
_atom_site_type_symbol
_atom_site_fract_x
_atom_site_fract_y
_atom_site_fract_z
La1 La 0.000 0.000 0.000
Si1 Si 0.500 0.500 0.500
Se1 Se 0.000 0.000 0.500
```

=====

No. 4
Material: BeMo2Rh2
Method: DFT, GGA-PBEsol
State: relaxed

Summary:
Crystal system = tetragonal
E_form = 652.9 meV/atom

The structure in CIF format:
```
data_BeMo2Rh2
_cell_length_a 3.589
_cell_length_b 3.589
_cell_length_c 12.007
_cell_angle_alpha 90.00
_cell_angle_beta 90.00
_cell_angle_gamma 90.00
_symmetry_space_group_name_H-M 'I 4/m m m'
_symmetry_Int_Tables_number 139
_symmetry_space_group_name_Hall '-I 4 2'
loop_
_atom_site_label
_atom_site_type_symbol
_atom_site_fract_x
_atom_site_fract_y
_atom_site_fract_z
Be1 Be 0.000 0.000 0.000
Mo1 Mo 0.000 0.000 0.404
Rh1 Rh 0.000 0.500 0.250
```

=====

No. 5
Material: Ca2ScW2
Method: DFT, GGA-PBEsol
State: relaxed

Summary:
Crystal system = tetragonal
E_form = 1129.7 meV/atom

The structure in CIF format:
```
data_Ca2ScW2
_cell_length_a 4.087
_cell_length_b 4.087
_cell_length_c 13.869
_cell_angle_alpha 90.00
_cell_angle_beta 90.00
_cell_angle_gamma 90.00
_symmetry_space_group_name_H-M 'I 4/m m m'
_symmetry_Int_Tables_number 139
_symmetry_space_group_name_Hall '-I 4 2'
loop_
_atom_site_label
_atom_site_type_symbol
_atom_site_fract_x
_atom_site_fract_y
_atom_site_fract_z
Ca1 Ca 0.000 0.500 0.250
Sc1 Sc 0.000 0.000 0.000
W1 W 0.000 0.000 0.418
```

=====

No. 6
Material: AlCu3
Method: DFT, GGA-PBEsol
State: relaxed

Summary:
Crystal system = orthorhombic
E_form = -196.5 meV/atom

The structure in CIF format:
```
data_AlCu3
_cell_length_a 3.569
_cell_length_b 3.628
_cell_length_c 7.363
_cell_angle_alpha 90.00
_cell_angle_beta 90.00
_cell_angle_gamma 90.00
_symmetry_space_group_name_H-M 'I m m m'
_symmetry_Int_Tables_number 71
_symmetry_space_group_name_Hall '-I 2 2'
loop_
_atom_site_label
_atom_site_type_symbol
_atom_site_fract_x
_atom_site_fract_y
_atom_site_fract_z
Al1 Al 0.000 0.000 0.000
Cu1 Cu 0.000 0.000 0.500
Cu2 Cu 0.000 0.500 0.250
```

=====

In the order shown, the computed total moment values come out to 1.07, 0.00, 0.00, 0.00, 0.00, 0.00 μB per cell.